Material: Sr2Ge7Rh12
Method: DFT, PBE-GGA
State: relaxed

Size of the total moment: 0.00 μB/cell
Calculated volume: 16.39 A^3/atom
ΔE_f: -59 kJ/mol of atoms
E: -6.516 eV per atom

Unit cell a=9.9951 b=9.9951 c=3.9786 alpha=90.00 beta=90.00 gamma=120.00
Last column: nearest neighbours and their distance in Å.
Space group P-6 (No. 174)
One atom of each set of equivalent atoms:
Sr 0.0000 0.0000 0.0000 x1  6 Ge 3.20, 12 Rh 3.27-3.52
Sr 0.3333 0.6667 0.5000 x1  6 Ge 3.18, 9 Rh 3.22-3.46
Ge 0.0644 0.4470 0.0000 x3  7 Rh 2.42-2.68
Ge 0.2687 0.2275 0.5000 x3  7 Rh 2.49-2.60
Ge 0.6667 0.3333 0.0000 x1  3 Rh 2.39
Rh 0.0491 0.2804 0.5000 x3  4 Ge 2.50-2.60
Rh 0.1071 0.7139 0.0000 x3  4 Ge 2.48-2.54
Rh 0.3911 0.1816 0.0000 x3  4 Ge 2.39-2.49
Rh 0.5450 0.4340 0.5000 x3  5 Ge 2.49-2.77

Material: Pm4TlAsSe2
Method: DFT, PBE-GGA
State: relaxed

Size of the total moment: 0.00 μB/cell
Formation energy without anion corrections: -10.992 eV/f.u.
Calculated volume: 27.93 A^3/atom
E: -5.497 eV per atom

Unit cell a=7.4608 b=4.2243 c=7.4914 alpha=90.00 beta=108.86 gamma=90.00
Last column: nearest neighbours and their distance in Å.
Space group P2/m (No. 10)
One atom of each set of equivalent atoms:
Pm 0.2418 0.0000 0.2376 x2  3 Se 2.97-3.07, 1 As 3.02, 2 Tl 3.10
Pm 0.2544 0.5000 0.7599 x2  2 As 2.99, 3 Se 3.01-3.08, 1 Tl 3.07
Tl 0.5000 0.5000 0.5000 x1  6 Pm 3.07-3.10
As 0.5000 0.0000 0.0000 x1  6 Pm 2.99-3.02
Se 0.0000 0.0000 0.5000 x1  6 Pm 3.07-3.08
Se 0.0000 0.5000 0.0000 x1  6 Pm 2.97-3.01

Material: Li2Pr5Sn4
Method: DFT, PBE-GGA
State: relaxed

Size of the total moment: 2.93 μB/cell
Calculated volume: 31.72 A^3/atom
ΔE_f: -41 kJ/mol of atoms
E: -4.405 eV per atom

Unit cell a=21.6400 b=4.5146 c=7.6151 alpha=90.00 beta=110.27 gamma=90.00
Last column: nearest neighbours and their distance in Å.
Space group C2/m (No. 12)
One atom of each set of equivalent atoms:
Li 0.0661 0.0000 0.0676 x4  1 Li 2.68, 1 Sn 2.86
Pr 0.0000 0.0000 0.5000 x2  4 Sn 3.24
Pr 0.1606 0.5000 0.4251 x4  4 Sn 3.16-3.30
Pr 0.1608 0.5000 0.8996 x4  4 Sn 3.16-3.30
Sn 0.0001 0.5000 0.1952 x4  1 Sn 2.97, 4 Li 3.01-3.03, 4 Pr 3.24-3.30
Sn 0.2071 0.0000 0.2082 x4  1 Li 2.86, 4 Pr 3.16

Material: Ce2AlPt
Method: DFT, PBE-GGA
State: relaxed

E above lowest polymorph: 0 meV per atom
Size of the total moment: 0.00 μB/cell
Calculated volume: 21.59 A^3/atom
ΔE_f: -64 kJ/mol of atoms
E: -6.080 eV per atom

Unit cell a=6.0871 b=9.0157 c=6.2937 alpha=90.00 beta=90.00 gamma=90.00
Last column: nearest neighbours and their distance in Å.
Space group Imma (No. 74)
One atom of each set of equivalent atoms:
Ce 0.2500 0.0303 0.2500 x8  4 Pt 3.02-3.29, 4 Ce 3.04-3.19, 4 Al 3.17-3.20
Al 0.0000 0.2500 0.5669 x4  1 Pt 2.60
Pt 0.0000 0.2500 0.9801 x4  1 Al 2.60

Material: Sr2Cd3GaAu4
Method: DFT, PBE-GGA
State: relaxed

Size of the total moment: 0.00 μB/cell
Calculated volume: 25.15 A^3/atom
ΔE_f: -44 kJ/mol of atoms
E: -2.683 eV per atom

Unit cell a=4.8896 b=4.8896 c=10.5196 alpha=90.00 beta=90.00 gamma=90.00
Last column: nearest neighbours and their distance in Å.
Space group P-4m2 (No. 115)
One atom of each set of equivalent atoms:
Sr 0.0000 0.5000 0.2405 x2  9 Au 3.52-3.92, 7 Cd 3.65-3.88, 2 Ga 3.66
Cd 0.0000 0.5000 0.8714 x2  5 Au 2.71-2.79
Cd 0.5000 0.5000 0.5000 x1  4 Au 2.72
Ga 0.0000 0.0000 0.5000 x1  4 Au 2.72
Au 0.0000 0.0000 0.0000 x1  4 Cd 2.79
Au 0.0000 0.5000 0.6135 x2  3 Cd 2.71-2.72, 2 Ga 2.72
Au 0.5000 0.5000 0.0000 x1  4 Cd 2.79

Material: ThAl3ZnAg
Method: DFT, PBE-GGA
State: relaxed

Size of the total moment: 0.00 μB/cell
Calculated volume: 20.58 A^3/atom
ΔE_f: 0 kJ/mol of atoms
E: -3.791 eV per atom

Unit cell a=6.1617 b=12.7953 c=6.2657 alpha=90.00 beta=90.00 gamma=90.00
Last column: nearest neighbours and their distance in Å.
Space group Cmcm (No. 63)
One atom of each set of equivalent atoms:
Th 0.0000 0.1979 0.2500 x4  1 Zn 2.83
Al 0.0000 0.3697 0.7500 x4  1 Zn 2.70, 1 Ag 2.71, 4 Al 2.89
Al 0.2122 0.0000 0.0000 x8  2 Zn 2.58, 1 Al 2.62, 2 Ag 2.87
Zn 0.0000 0.4193 0.2500 x4  5 Al 2.58-2.70, 1 Th 2.83
Ag 0.0000 0.1576 0.7500 x4  5 Al 2.71-2.87

Material: Ho2Cl2O
Method: DFT, PBE-GGA
State: relaxed

Size of the total moment: 0.00 μB/cell
Formation energy without anion corrections: -6.782 eV/f.u.
Calculated volume: 43.35 A^3/atom
E: -4.918 eV per atom

Unit cell a=4.0782 b=4.0782 c=13.0333 alpha=90.00 beta=90.00 gamma=90.00
Last column: nearest neighbours and their distance in Å.
Space group P4/mmm (No. 123)
One atom of each set of equivalent atoms:
Ho 0.0000 0.0000 0.1573 x2  1 O 2.05
Cl 0.0000 0.0000 0.3449 x2  1 Ho 2.44
O 0.0000 0.0000 0.0000 x1  2 Ho 2.05

Material: Cr2TeRu
Method: DFT, PBE-GGA
State: relaxed

Size of the total moment: 1.24 μB/cell
Formation energy without anion corrections: 1.205 eV/f.u.
Calculated volume: 15.61 A^3/atom
E: -7.615 eV per atom

Unit cell a=9.0222 b=3.1507 c=4.5750 alpha=90.00 beta=106.20 gamma=90.00
Last column: nearest neighbours and their distance in Å.
Space group Cm (No. 8)
One atom of each set of equivalent atoms:
Cr 0.0000 0.0000 0.0000 x2  3 Cr 2.52-2.67, 2 Te 2.71
Cr 0.2267 0.5000 0.1204 x2  3 Cr 2.52-2.67, 2 Ru 2.72
Te 0.4851 0.0000 0.4724 x2  3 Ru 2.62-2.64, 6 Cr 2.71-2.90
Ru 0.2287 0.0000 0.6362 x2  3 Te 2.62-2.64, 4 Cr 2.72-2.83

Material: Pm2Al5Au4
Method: DFT, PBE-GGA
State: relaxed

Size of the total moment: 0.00 μB/cell
Calculated volume: 20.45 A^3/atom
ΔE_f: -58 kJ/mol of atoms
E: -4.358 eV per atom

Unit cell a=5.5076 b=9.4938 c=17.2091 alpha=90.00 beta=90.00 gamma=90.00
Last column: nearest neighbours and their distance in Å.
Space group Fmmm (No. 69)
One atom of each set of equivalent atoms:
Pm 0.0000 0.0000 0.1096 x8  6 Au 3.18-3.23, 6 Al 3.33-3.34
Al 0.0000 0.0000 0.5000 x4  4 Al 2.74, 4 Au 2.75
Al 0.2500 0.2500 0.0000 x8  4 Al 2.74-2.75, 4 Au 2.78
Al 0.2500 0.2500 0.2500 x8  4 Au 2.59, 2 Al 2.75
Au 0.0000 0.1624 0.3680 x16  5 Al 2.59-2.78

Material: SiRuN2
Method: DFT, PBE-GGA
State: relaxed

Size of the total moment: 0.64 μB/cell
Formation energy without anion corrections: 1.322 eV/f.u.
Calculated volume: 10.79 A^3/atom
E: -7.507 eV per atom

Unit cell a=2.8849 b=2.8849 c=17.9717 alpha=90.00 beta=90.00 gamma=120.00
Last column: nearest neighbours and their distance in Å.
Space group R-3m (No. 166, hexagonal axes)
One atom of each set of equivalent atoms:
Si 0.0000 0.0000 0.0000 x3  2 N 1.75
Ru 0.0000 0.0000 0.5000 x3  6 N 2.08
N 0.0000 0.0000 0.0976 x6  1 Si 1.75

Material: LiMgTa
Method: DFT, PBE-GGA
State: relaxed

E above lowest polymorph: 507 meV per atom
Size of the total moment: 0.00 μB/cell
Calculated volume: 18.31 A^3/atom
ΔE_f: 57 kJ/mol of atoms
E: -4.533 eV per atom

Unit cell a=3.7149 b=3.7149 c=7.9618 alpha=90.00 beta=90.00 gamma=90.00
Last column: nearest neighbours and their distance in Å.
Space group P4/nmm (No. 129, origin choice 2)
One atom of each set of equivalent atoms:
Li 0.2500 0.2500 0.2441 x2  1 Ta 2.58, 4 Mg 2.76
Mg 0.2500 0.7500 0.5000 x2  4 Mg 2.63, 4 Li 2.76
Ta 0.2500 0.2500 0.9197 x2  1 Li 2.58

Material: CoHRu
Method: DFT, PBE-GGA
State: relaxed

E above lowest polymorph: 284 meV per atom
Size of the total moment: 2.44 μB/cell
Calculated volume: 9.87 A^3/atom
E: -6.190 eV per atom

Unit cell a=2.6876 b=2.6876 c=8.1954 alpha=90.00 beta=90.00 gamma=90.00
Last column: nearest neighbours and their distance in Å.
Space group I4mm (No. 107)
One atom of each set of equivalent atoms:
Co 0.0000 0.0000 0.0000 x2  1 H 2.12
H 0.0000 0.0000 0.7407 x2  4 Ru 1.96, 1 Co 2.12
Ru 0.0000 0.0000 0.2970 x2  4 H 1.96

Question: Which of these has the highest size of the total moment?
Answer: Li2Pr5Sn4